Material: CdAs2I
Method: DFT, meta-GGA SCAN
State: PBEsol geometry

a b c (Å): 5.615 5.615 15.257
angles (deg): 90.00 90.00 90.00
Space group I-42d (No. 122)
Unique sites:
Cd 0.000 0.000 0.000 (multiplicity 4)
As 0.208 0.250 0.125 (multiplicity 8)
I 0.000 0.000 0.500 (multiplicity 4)

polymorph energy (0 for the lowest one)	0	meV/atom
E_form (uncorrected)	0.545	eV per atom